(1)
## InAsCl3 (GGA-PBE)

Data for an optimized crystal structure of InAsCl3.

Values from the calculation:
DOS at the Fermi energy   1.44 states/eV per atom
E_form (uncorrected)   -0.155 eV per atom
Relative energy among the computed polymorphs   1.64 eV per formula unit
Space-group type   Pm-3m, No. 221

Geometry as POSCAR:
```
InAsCl3
1.0
-4.961 0.876 1.413
-1.540 -4.099 -2.863
0.628 -3.130 4.145
In Cl As
1 3 1
Direct
0.000 0.000 0.000
0.000 0.000 0.500
0.000 0.500 0.000
0.500 0.000 0.000
0.500 0.500 0.500
```

---

(2)
## InAs2Cl (GGA-PBE)

Data for an optimized crystal structure of InAs2Cl.

Values from the calculation:
E_form (uncorrected)   -0.337 eV per atom
Relative energy among the computed polymorphs   0.00 eV per formula unit
Space-group type   Cm, No. 8

Geometry as POSCAR:
```
InAs2Cl
1.0
-2.623 1.783 1.893
0.040 -0.032 3.693
4.978 9.132 1.843
As Cl In
2 1 1
Direct
0.730 0.730 0.812
0.019 0.019 0.945
0.513 0.513 0.458
0.238 0.238 0.284
```

---

(3)
## InAsCl (GGA-PBE)

Data for an optimized crystal structure of InAsCl.

Values from the calculation:
DOS at the Fermi energy   0.12 states/eV per atom
E_form (uncorrected)   -0.493 eV per atom
Relative energy among the computed polymorphs   0.00 eV per formula unit
Space-group type   P-1, No. 2

Geometry as POSCAR:
```
InAsCl
1.0
4.402 0.000 0.647
2.152 3.841 0.661
0.200 0.131 12.195
In Cl As
2 2 2
Direct
0.784 0.778 0.174
0.216 0.222 0.826
0.275 0.278 0.631
0.725 0.722 0.369
0.529 0.533 0.897
0.471 0.467 0.103
```

---

(4)
## InAsCl (GGA-PBE)

Data for an optimized crystal structure of InAsCl.

Values from the calculation:
DOS at the Fermi energy   0.43 states/eV per atom
E_form (uncorrected)   -0.241 eV per atom
Relative energy among the computed polymorphs   0.76 eV per formula unit
Space-group type   P3m1, No. 156

Geometry as POSCAR:
```
InAsCl
1.0
-0.189 -2.940 -2.221
3.196 1.796 0.414
1.696 -4.292 5.536
In Cl As
1 1 1
Direct
0.333 0.667 0.669
0.667 0.333 0.423
0.000 0.000 0.908
```

---

(5)
## InAs2Cl (GGA-PBE)

Data for an optimized crystal structure of InAs2Cl.

Values from the calculation:
DOS at the Fermi energy   0.57 states/eV per atom
E_form (uncorrected)   0.145 eV per atom
Relative energy among the computed polymorphs   1.93 eV per formula unit
Space-group type   Cmmm, No. 65

Geometry as POSCAR:
```
InAs2Cl
1.0
-3.283 4.788 -3.396
4.334 -4.864 -1.674
-2.292 -1.888 -0.447
As In Cl
2 1 1
Direct
0.000 0.000 0.000
0.500 0.500 0.000
0.000 0.500 0.500
0.500 0.000 0.500
```

---

(6)
## InAs2Cl (GGA-PBE)

Data for an optimized crystal structure of InAs2Cl.

Values from the calculation:
DOS at the Fermi energy   0.26 states/eV per atom
E_form (uncorrected)   -0.215 eV per atom
Relative energy among the computed polymorphs   0.49 eV per formula unit
Space-group type   Imm2, No. 44

Geometry as POSCAR:
```
InAs2Cl
1.0
8.564 2.314 -0.395
4.982 7.340 0.395
-5.989 -5.927 2.802
As In Cl
2 1 1
Direct
0.831 0.831 0.000
0.734 0.234 0.500
0.410 0.910 0.500
0.524 0.524 0.000
```

---

| no. | electronic total energy (eV/atom) |
| --- | --- |
| 1 | -2.740 |
| 2 | -3.808 |
| 3 | -3.571 |
| 4 | -3.319 |
| 5 | -3.326 |
| 6 | -3.686 |